Entry from the Alexandria database: a relaxed structure of Mg2BiAu2 (PBE).

```
data_Mg2BiAu2
_chemical_formula_sum 'Mg4 Bi2 Au4'
_symmetry_space_group_name_H-M 'P 4/m b m'
_symmetry_Int_Tables_number 127
_symmetry_space_group_name_Hall '-P 4 2ab'
_cell_length_a 7.9303
_cell_length_b 7.9303
_cell_length_c 3.3783
_cell_angle_alpha 90.00
_cell_angle_beta 90.00
_cell_angle_gamma 90.00
loop_
_atom_site_label
_atom_site_type_symbol
_atom_site_fract_x
_atom_site_fract_y
_atom_site_fract_z
_atom_site_occupancy
Mg1 Mg 0.1620 0.3380 0.0000 1
Bi1 Bi 0.0000 0.0000 0.5000 1
Au1 Au 0.1303 0.6303 0.5000 1
```



Entry from the Alexandria database: a relaxed structure of Mg10Bi4Au (PBE).

```
data_Mg10Bi4Au
_chemical_formula_sum 'Mg20 Bi8 Au2'
_symmetry_space_group_name_H-M 'I 4/m'
_symmetry_Int_Tables_number 87
_symmetry_space_group_name_Hall '-I 4'
_cell_length_a 10.9853
_cell_length_b 10.9853
_cell_length_c 6.9516
_cell_angle_alpha 90.00
_cell_angle_beta 90.00
_cell_angle_gamma 90.00
loop_
_atom_site_label
_atom_site_type_symbol
_atom_site_fract_x
_atom_site_fract_y
_atom_site_fract_z
_atom_site_occupancy
Mg1 Mg 0.0000 0.5000 0.2500 1
Mg2 Mg 0.0889 0.8184 0.2265 1
Bi1 Bi 0.1012 0.2998 0.5000 1
Au1 Au 0.0000 0.0000 0.0000 1
```



Entry from the Alexandria database: a relaxed structure of MgBiAu2 (PBE).

```
data_MgBiAu2
_chemical_formula_sum 'Mg2 Bi2 Au4'
_symmetry_space_group_name_H-M 'C 1 m 1'
_symmetry_Int_Tables_number 8
_cell_length_a 5.9334
_cell_length_b 3.4998
_cell_length_c 8.9154
_cell_angle_alpha 90.00
_cell_angle_beta 103.06
_cell_angle_gamma 90.00
loop_
_symmetry_equiv_pos_as_xyz
'x,y,z'
'x,-y,z'
'x+1/2,y+1/2,z'
'x+1/2,-y+1/2,z'
loop_
_atom_site_label
_atom_site_type_symbol
_atom_site_fract_x
_atom_site_fract_y
_atom_site_fract_z
_atom_site_occupancy
Mg1 Mg 0.0000 0.0000 0.0000 1
Bi1 Bi 0.1676 0.0000 0.5002 1
Au1 Au 0.0902 0.5000 0.7791 1
Au2 Au 0.4102 0.0000 0.2225 1
```



Entry from the Alexandria database: a relaxed structure of Mg2BiAu2 (PBE).

```
data_Mg2BiAu2
_chemical_formula_sum 'Mg4 Bi2 Au4'
_symmetry_space_group_name_H-M 'I 4/m m m'
_symmetry_Int_Tables_number 139
_symmetry_space_group_name_Hall '-I 4 2'
_cell_length_a 4.2724
_cell_length_b 4.2724
_cell_length_c 12.2395
_cell_angle_alpha 90.00
_cell_angle_beta 90.00
_cell_angle_gamma 90.00
loop_
_atom_site_label
_atom_site_type_symbol
_atom_site_fract_x
_atom_site_fract_y
_atom_site_fract_z
_atom_site_occupancy
Mg1 Mg 0.0000 0.5000 0.2500 1
Bi1 Bi 0.0000 0.0000 0.0000 1
Au1 Au 0.0000 0.0000 0.3862 1
```



| no. | volume (Å³/atom) | uncorrected energy (eV per atom) |
| --- | --- | --- |
| 1 | 21.2 | -3.15 |
| 2 | 28.0 | -2.54 |
| 3 | 22.5 | -3.17 |
| 4 | 22.3 | -3.04 |